Tm2TaSi3Ir4: relaxed, GGA-PBE.

Values from the calculation:
- ΔE_f (raw) (eV/f.u.) = -9.65
- crystal system = tetragonal
- calculated total energy (eV per atom) = -8.22
- symmetry = No. 115
- N(E_F) (states/eV/cell) = 4.944

Cell: 4.0720 4.0720 10.4768 Å, 90.00 90.00 90.00°
With the nearest neighbours (Å) after each atom.
Element x y z (fractional)
Tm1 0.5000 0.0000 0.2341  6 Si 3.09-3.45, 8 Ir 3.14-3.19, 2 Ta 3.45
Tm2 0.0000 0.5000 0.7659  6 Si 3.09-3.45, 8 Ir 3.14-3.19, 2 Ta 3.45
Ta1 0.5000 0.5000 0.5000  4 Ir 2.55
Si1 0.0000 0.0000 0.5000  4 Ir 2.55
Si2 0.5000 0.0000 0.8736  5 Ir 2.38-2.43
Si3 0.0000 0.5000 0.1264  5 Ir 2.38-2.43
Ir1 0.5000 0.5000 0.0000  4 Si 2.43
Ir2 0.0000 0.0000 0.0000  4 Si 2.43
Ir3 0.5000 0.0000 0.6460  3 Si 2.38-2.55, 2 Ta 2.55
Ir4 0.0000 0.5000 0.3540  3 Si 2.38-2.55, 2 Ta 2.55